No. 1
Material: ReCl4
Method: DFT, PBE
State: optimized geometry

distance to the lowest polymorph of the same formula	1292	meV/atom
size of the total moment	2.98	μB per formula unit
ρ	3.5	g/cm3
D(E_F)	1.11	states/eV per atom

a = 6.3741 Å, b = 6.3741 Å, c = 7.6076 Å
α = 90.00°, β = 90.00°, γ = 90.00°
Space group I4/mmm (No. 139)
Unique sites:
1 Re 0.0000 0.0000 0.0000 (multiplicity 2)
2 Cl 0.0000 0.0000 0.2863 (multiplicity 4)
3 Cl 0.0000 0.5000 0.2500 (multiplicity 4)

=====

No. 2
Material: Re5Cl4
Method: DFT, PBE
State: optimized geometry

distance to the lowest polymorph of the same formula	0	meV/atom
size of the total moment	0.00	μB per formula unit
ρ	12.0	g/cm3
D(E_F)	0.83	states/eV per atom

a = 10.2059 Å, b = 10.2059 Å, c = 2.8547 Å
α = 90.00°, β = 90.00°, γ = 90.00°
Space group I4/mmm (No. 139)
Unique sites:
1 Re 0.0000 0.0000 0.0000 (multiplicity 2)
2 Re 0.1553 0.1553 0.5000 (multiplicity 8)
3 Cl 0.0000 0.3030 0.0000 (multiplicity 8)

=====

No. 3
Material: ReCl5
Method: DFT, PBE
State: optimized geometry

distance to the lowest polymorph of the same formula	0	meV/atom
size of the total moment	2.00	μB per formula unit
ρ	3.3	g/cm3
D(E_F)	0.91	states/eV per atom

a = 9.6147 Å, b = 12.4235 Å, c = 13.0210 Å
α = 90.00°, β = 109.81°, γ = 90.00°
Space group P2_1/c (No. 14)
Unique sites:
1 Re 0.1148 0.1274 0.3112 (multiplicity 4)
2 Re 0.3019 0.6205 0.2950 (multiplicity 4)
3 Cl 0.0899 0.2369 0.4443 (multiplicity 4)
4 Cl 0.0912 0.5192 0.1651 (multiplicity 4)
5 Cl 0.0960 0.7293 0.3181 (multiplicity 4)
6 Cl 0.0979 0.0166 0.1677 (multiplicity 4)
7 Cl 0.2763 0.5113 0.4281 (multiplicity 4)
8 Cl 0.2795 0.2375 0.2752 (multiplicity 4)
9 Cl 0.2849 0.0214 0.4315 (multiplicity 4)
10 Cl 0.2864 0.7319 0.1521 (multiplicity 4)
11 Cl 0.4665 0.5095 0.2599 (multiplicity 4)
12 Cl 0.4717 0.7260 0.4159 (multiplicity 4)

=====

No. 4
Material: ReCl4
Method: DFT, PBE
State: optimized geometry

distance to the lowest polymorph of the same formula	335	meV/atom
size of the total moment	0.39	μB per formula unit
ρ	3.9	g/cm3
D(E_F)	0.24	states/eV per atom

a = 7.0290 Å, b = 13.4366 Å, c = 2.9782 Å
α = 90.00°, β = 90.00°, γ = 90.00°
Space group Cmmm (No. 65)
Unique sites:
1 Re 0.0000 0.0000 0.0000 (multiplicity 2)
2 Cl 0.2026 0.1059 0.5000 (multiplicity 8)

=====

No. 5
Material: Re2Cl13
Method: DFT, PBE
State: optimized geometry

size of the total moment	3.01	μB per formula unit
ρ	2.9	g/cm3
VASP energy	-3.712	eV/atom
D(E_F)	0.78	states/eV per atom

a = 6.4963 Å, b = 9.0619 Å, c = 9.3816 Å
α = 107.44°, β = 103.17°, γ = 107.59°
Space group P-1 (No. 2)
Unique sites:
1 Re 0.2146 0.3627 0.2179 (multiplicity 2)
2 Cl 0.0154 0.1576 0.2918 (multiplicity 2)
3 Cl 0.0197 0.5208 0.3085 (multiplicity 2)
4 Cl 0.0426 0.7613 0.0315 (multiplicity 2)
5 Cl 0.3745 0.0338 0.4546 (multiplicity 2)
6 Cl 0.4318 0.2140 0.1526 (multiplicity 2)
7 Cl 0.4399 0.5791 0.1725 (multiplicity 2)
8 Cl 0.5000 0.5000 0.5000 (multiplicity 1)

=====

No. 6
Material: Re5Cl
Method: DFT, PBE
State: optimized geometry

distance to the lowest polymorph of the same formula	0	meV/atom
size of the total moment	0.00	μB per formula unit
ρ	17.0	g/cm3
D(E_F)	0.96	states/eV per atom

a = 10.1829 Å, b = 2.8165 Å, c = 6.9053 Å
α = 90.00°, β = 107.77°, γ = 90.00°
Space group Cm (No. 8)
Unique sites:
1 Re 0.0000 0.0000 0.0000 (multiplicity 2)
2 Re 0.0343 0.0000 0.6293 (multiplicity 2)
3 Re 0.2211 0.5000 0.9542 (multiplicity 2)
4 Re 0.3302 0.0000 0.7019 (multiplicity 2)
5 Re 0.3996 0.0000 0.2560 (multiplicity 2)
6 Cl 0.1565 0.5000 0.4203 (multiplicity 2)

=====

No. 7
Material: ReCl5
Method: DFT, PBE
State: optimized geometry

distance to the lowest polymorph of the same formula	112	meV/atom
size of the total moment	2.00	μB per formula unit
ρ	3.3	g/cm3
D(E_F)	0.58	states/eV per atom

a = 8.6474 Å, b = 8.6474 Å, c = 4.8867 Å
α = 90.00°, β = 90.00°, γ = 90.00°
Space group I4/m (No. 87)
Unique sites:
1 Re 0.0000 0.0000 0.0000 (multiplicity 2)
2 Cl 0.0000 0.0000 0.5000 (multiplicity 2)
3 Cl 0.0718 0.2548 0.0000 (multiplicity 8)

=====

No. 8
Material: ReCl5
Method: DFT, PBE
State: optimized geometry

distance to the lowest polymorph of the same formula	606	meV/atom
size of the total moment	4.50	μB per formula unit
ρ	3.2	g/cm3
D(E_F)	0.52	states/eV per atom

a = 3.4913 Å, b = 21.8902 Å, c = 4.8870 Å
α = 90.00°, β = 90.00°, γ = 90.00°
Space group Cmmm (No. 65)
Unique sites:
1 Re 0.0000 0.0000 0.0000 (multiplicity 2)
2 Cl 0.0000 0.0000 0.5000 (multiplicity 2)
3 Cl 0.0000 0.2954 0.5000 (multiplicity 4)
4 Cl 0.0000 0.4242 0.0000 (multiplicity 4)